# Rb4Tl3Br10

A relaxed Rb4Tl3Br10 crystal (GGA-PBE, the Alexandria database).

Results
ΔE_f (raw) (kJ/mol of atoms): -109
Total magnetization (μB/cell): 0.00

Cell lengths 5.823, 5.823, 40.733 Å; angles 90.00, 90.00, 90.00 degrees
Space group I4/mmm (No. 139)
Asymmetric unit:
Rb 0.000 0.000 0.068 x4
Rb 0.000 0.000 0.199 x4
Tl 0.000 0.000 0.354 x4
Tl 0.000 0.000 0.500 x2
Br 0.000 0.000 0.283 x4
Br 0.000 0.000 0.429 x4
Br 0.000 0.500 0.000 x4
Br 0.000 0.500 0.142 x8

***

# RbTl3Br4

A relaxed RbTl3Br4 crystal (GGA-PBE, the Alexandria database).

Results
ΔE_f (raw) (kJ/mol of atoms): -105
Total magnetization (μB/cell): 0.00

Cell lengths 9.624, 13.618, 4.824 Å; angles 90.00, 90.00, 90.00 degrees
Space group Cmmm (No. 65)
Asymmetric unit:
Rb 0.000 0.000 0.000 x2
Tl 0.000 0.500 0.000 x2
Tl 0.250 0.250 0.500 x4
Br 0.000 0.252 0.000 x4
Br 0.245 0.500 0.500 x4

***

# RbTl4Br5

A relaxed RbTl4Br5 crystal (GGA-PBE, the Alexandria database).

Results
ΔE_f (raw) (kJ/mol of atoms): -100
Total magnetization (μB/cell): 0.00

Cell lengths 4.811, 6.795, 24.034 Å; angles 90.00, 90.00, 90.00 degrees
Space group Immm (No. 71)
Asymmetric unit:
Rb 0.000 0.000 0.000 x2
Tl 0.000 0.000 0.202 x4
Tl 0.000 0.000 0.399 x4
Br 0.000 0.500 0.000 x2
Br 0.000 0.500 0.199 x4
Br 0.000 0.500 0.396 x4

***

# RbTlBr3

A relaxed RbTlBr3 crystal (GGA-PBE, the Alexandria database).

Results
ΔE_f (raw) (kJ/mol of atoms): -102
Total magnetization (μB/cell): 0.00

Cell lengths 4.973, 9.598, 9.755 Å; angles 117.59, 94.57, 90.54 degrees
Space group P1 (No. 1)
Asymmetric unit:
Rb 0.000 0.000 0.000 x1
Rb 0.368 0.521 0.477 x1
Tl 0.175 0.469 0.911 x1
Tl 0.392 0.000 0.507 x1
Br 0.015 0.614 0.190 x1
Br 0.465 0.232 0.908 x1
Br 0.470 0.692 0.887 x1
Br 0.547 0.141 0.277 x1
Br 0.876 0.814 0.584 x1
Br 0.917 0.327 0.630 x1